# Tb4RhAu3 (PBE, relaxed)
# Calculated formation energy in eV/atom: -0.88
data_Tb4RhAu3
_cell_length_a 3.757
_cell_length_b 4.650
_cell_length_c 10.816
_cell_angle_alpha 90.00
_cell_angle_beta 90.00
_cell_angle_gamma 90.00
_space_group_name_H-M_alt 'P 1'
_space_group_IT_number 1
_space_group_name_Hall 'P 1'
loop_
_atom_site_label
_atom_site_fract_x
_atom_site_fract_y
_atom_site_fract_z
_atom_site_occupancy
Tb1 0.000 0.000 0.000 1
Tb2 0.000 0.500 0.262 1
Tb3 0.500 0.000 0.472 1
Tb4 0.500 0.500 0.767 1
Rh1 0.500 0.000 0.215 1
Au1 0.000 0.000 0.716 1
Au2 0.000 0.500 0.539 1
Au3 0.500 0.500 0.042 1